No. 1
Entry from Alexandria: crystalline GeSb2TeOs at its relaxed geometry (PBE).

## Properties
SG	P4/mmm (123)
ΔE to the lowest computed polymorph	0.868	eV/atom
crystal system	tetragonal
formation energy (no corrections)	1.613	eV/atom
volume	140.9	Å³ per cell
E_tot	-3.834	eV/atom
ρ	7.47	Mg/m³

abc: 5.218 5.218 5.174
angles: 90.00 90.00 90.00
Fractional positions:
1 Ge 0.000 0.000 0.000
2 Sb 0.000 0.500 0.000
3 Sb 0.500 0.000 0.000
4 Te 0.000 0.000 0.500
5 Os 0.500 0.500 0.500

=====

No. 2
Entry from Alexandria: crystalline PuAl2Ge2 at its relaxed geometry (PBE).

## Properties
SG	Cmcm (63)
crystal system	orthorhombic
energy of formation from the pure elements	-1.20	eV per formula unit
volume	188.6	Å³ per cell
E_tot	-6.450	eV/atom
ρ	7.80	Mg/m³

abc: 11.322 11.322 4.087
angles: 90.00 90.00 158.90
Fractional positions:
1 Pu 0.147 0.853 0.750
2 Pu 0.853 0.147 0.250
3 Al 0.042 0.958 0.250
4 Al 0.456 0.544 0.250
5 Al 0.544 0.456 0.750
6 Al 0.958 0.042 0.750
7 Ge 0.251 0.749 0.250
8 Ge 0.366 0.634 0.750
9 Ge 0.634 0.366 0.250
10 Ge 0.749 0.251 0.750

=====

No. 3
Entry from Alexandria: crystalline CdIn2Si2 at its relaxed geometry (PBE).

## Properties
SG	P4/mbm (127)
ΔE to the lowest computed polymorph	0.001	eV/atom
crystal system	tetragonal
formation energy (no corrections)	0.295	eV/atom
volume	224.1	Å³ per cell
E_tot	-3.153	eV/atom
ρ	5.90	Mg/m³

abc: 7.105 7.105 4.438
angles: 90.00 90.00 90.00
Fractional positions:
1 Cd 0.000 0.000 0.000
2 Cd 0.500 0.500 0.000
3 In 0.183 0.317 0.500
4 In 0.317 0.817 0.500
5 In 0.683 0.183 0.500
6 In 0.817 0.683 0.500
7 Si 0.119 0.619 0.000
8 Si 0.381 0.119 0.000
9 Si 0.619 0.881 0.000
10 Si 0.881 0.381 0.000

=====

No. 4
Entry from Alexandria: crystalline KInTe2O6 at its relaxed geometry (PBE).

## Properties
SG	Pnma (62)
ΔE to the lowest computed polymorph	0.000	eV/atom
crystal system	orthorhombic
formation energy (no corrections)	-1.352	eV/atom
volume	694.3	Å³ per cell
E_tot	-5.339	eV/atom
ρ	4.83	Mg/m³

abc: 13.525 5.914 8.680
angles: 90.00 90.00 90.00
Fractional positions:
1 K 0.122 0.250 0.003
2 K 0.378 0.750 0.503
3 K 0.622 0.250 0.497
4 K 0.878 0.750 0.997
5 In 0.098 0.750 0.705
6 In 0.402 0.250 0.205
7 In 0.598 0.750 0.795
8 In 0.902 0.250 0.295
9 Te 0.072 0.750 0.291
10 Te 0.198 0.250 0.488
11 Te 0.302 0.750 0.988
12 Te 0.428 0.250 0.791
13 Te 0.572 0.750 0.209
14 Te 0.698 0.250 0.012
15 Te 0.802 0.750 0.512
16 Te 0.928 0.250 0.709
17 O 0.002 0.507 0.201
18 O 0.002 0.993 0.201
19 O 0.014 0.750 0.490
20 O 0.165 0.750 0.936
21 O 0.208 0.004 0.627
22 O 0.208 0.496 0.627
23 O 0.292 0.504 0.127
24 O 0.292 0.996 0.127
25 O 0.335 0.250 0.436
26 O 0.486 0.250 0.990
27 O 0.498 0.007 0.701
28 O 0.498 0.493 0.701
29 O 0.502 0.507 0.299
30 O 0.502 0.993 0.299
31 O 0.514 0.750 0.010
32 O 0.665 0.750 0.564
33 O 0.708 0.004 0.873
34 O 0.708 0.496 0.873
35 O 0.792 0.504 0.373
36 O 0.792 0.996 0.373
37 O 0.835 0.250 0.064
38 O 0.986 0.250 0.510
39 O 0.998 0.007 0.799
40 O 0.998 0.493 0.799

=====

No. 5
Entry from Alexandria: crystalline RbOs3N at its relaxed geometry (PBE).

## Properties
SG	Pm-3m (221)
ΔE to the lowest computed polymorph	3.524	eV/atom
crystal system	cubic
formation energy (no corrections)	5.306	eV/atom
volume	119.2	Å³ per cell
E_tot	-3.291	eV/atom
ρ	9.33	Mg/m³

abc: 4.922 4.922 4.922
angles: 90.00 90.00 90.00
Fractional positions:
1 Rb 0.000 0.000 0.000
2 Os 0.000 0.000 0.500
3 Os 0.000 0.500 0.000
4 Os 0.500 0.000 0.000
5 N 0.500 0.500 0.500

=====

No. 6
Entry from Alexandria: crystalline Ac2CrSb at its relaxed geometry (PBE).

## Properties
SG	P4/mmm (123)
crystal system	tetragonal
formation energy (no corrections)	-0.183	eV/atom
volume	130.0	Å³ per cell
E_tot	-5.673	eV/atom
ρ	8.02	Mg/m³

abc: 5.533 5.533 4.246
angles: 90.00 90.00 90.00
Fractional positions:
1 Ac 0.000 0.500 0.000
2 Ac 0.500 0.000 0.000
3 Cr 0.000 0.000 0.500
4 Sb 0.500 0.500 0.500

=====

No. 7
Entry from Alexandria: crystalline MgNbS2 at its relaxed geometry (PBE).

## Properties
SG	R-3m (166)
crystal system	trigonal
formation energy (no corrections)	-0.819	eV/atom
volume	81.6	Å³ per cell
E_tot	-5.799	eV/atom
ρ	3.69	Mg/m³

abc: 8.581 8.581 8.581
angles: 22.56 22.56 22.56
Fractional positions:
1 Mg 0.000 0.000 0.000
2 Nb 0.500 0.500 0.500
3 S 0.103 0.103 0.103
4 S 0.897 0.897 0.897

=====

No. 8
Entry from Alexandria: crystalline TlH8Pt2Rh at its relaxed geometry (PBE).

## Properties
SG	R-3 (148)
crystal system	trigonal
volume	128.0	Å³ per cell
E_tot	-3.968	eV/atom
ρ	9.15	Mg/m³

abc: 7.095 7.095 7.095
angles: 39.13 39.13 39.13
Fractional positions:
1 Tl 0.000 0.000 0.000
2 H 0.154 0.745 0.436
3 H 0.255 0.564 0.846
4 H 0.291 0.291 0.291
5 H 0.436 0.154 0.745
6 H 0.564 0.846 0.255
7 H 0.709 0.709 0.709
8 H 0.745 0.436 0.154
9 H 0.846 0.255 0.564
10 Pt 0.210 0.210 0.210
11 Pt 0.790 0.790 0.790
12 Rh 0.500 0.500 0.500

=====

No. 9
Entry from Alexandria: crystalline PmZrUO6 at its relaxed geometry (PBE).

## Properties
SG	P-31c (163)
crystal system	trigonal
formation energy (no corrections)	-3.306	eV/atom
volume	274.6	Å³ per cell
E_tot	-9.344	eV/atom
ρ	6.90	Mg/m³

abc: 5.690 5.690 9.793
angles: 90.00 90.00 120.00
Fractional positions:
1 Pm 0.000 0.000 0.000
2 Pm 0.000 0.000 0.500
3 Zr 0.333 0.667 0.250
4 Zr 0.667 0.333 0.750
5 U 0.333 0.667 0.750
6 U 0.667 0.333 0.250
7 O 0.003 0.354 0.138
8 O 0.003 0.649 0.362
9 O 0.351 0.354 0.362
10 O 0.351 0.997 0.138
11 O 0.354 0.003 0.638
12 O 0.354 0.351 0.862
13 O 0.646 0.649 0.138
14 O 0.646 0.997 0.362
15 O 0.649 0.003 0.862
16 O 0.649 0.646 0.638
17 O 0.997 0.351 0.638
18 O 0.997 0.646 0.862

=====

No. 10
Entry from Alexandria: crystalline Tb2Tm2Mg at its relaxed geometry (PBE).

## Properties
SG	I4_1/amd (141)
ΔE to the lowest computed polymorph	0.225	eV/atom
crystal system	tetragonal
energy of formation from the pure elements	1.06	eV per formula unit
volume	322.6	Å³ per cell
E_tot	-3.748	eV/atom
ρ	7.00	Mg/m³

abc: 13.117 13.117 13.117
angles: 157.78 157.78 31.63
Fractional positions:
1 Tb 0.050 0.300 0.750
2 Tb 0.300 0.050 0.250
3 Tb 0.700 0.950 0.750
4 Tb 0.950 0.700 0.250
5 Tm 0.205 0.455 0.750
6 Tm 0.455 0.205 0.250
7 Tm 0.545 0.795 0.750
8 Tm 0.795 0.545 0.250
9 Mg 0.375 0.625 0.750
10 Mg 0.625 0.375 0.250

=====

No. 11
Entry from Alexandria: crystalline BaAcPm2 at its relaxed geometry (PBE).

## Properties
SG	P4/mmm (123)
ΔE to the lowest computed polymorph	0.000	eV/atom
crystal system	tetragonal
energy of formation from the pure elements	0.51	eV per formula unit
volume	167.1	Å³ per cell
E_tot	-3.756	eV/atom
ρ	6.50	Mg/m³

abc: 3.878 3.878 11.114
angles: 90.00 90.00 90.00
Fractional positions:
1 Ba 0.000 0.000 0.000
2 Ac 0.000 0.000 0.500
3 Pm 0.500 0.500 0.272
4 Pm 0.500 0.500 0.728

=====

No. 12
Entry from Alexandria: crystalline BeAlH2Pt at its relaxed geometry (PBE).

## Properties
SG	P4/mmm (123)
crystal system	tetragonal
volume	56.7	Å³ per cell
E_tot	-3.847	eV/atom
ρ	6.83	Mg/m³

abc: 3.502 3.502 4.624
angles: 90.00 90.00 90.00
Fractional positions:
1 Be 0.000 0.000 0.000
2 Al 0.500 0.500 0.000
3 H 0.000 0.500 0.500
4 H 0.500 0.000 0.500
5 Pt 0.000 0.000 0.500

=====

No. 13
Entry from Alexandria: crystalline YHo2ErTm2 at its relaxed geometry (PBE).

## Properties
SG	Pnnm (58)
crystal system	orthorhombic
energy of formation from the pure elements	0.45	eV per formula unit
volume	370.3	Å³ per cell
E_tot	-4.779	eV/atom
ρ	8.29	Mg/m³

abc: 6.970 9.571 5.551
angles: 90.00 90.00 90.00
Fractional positions:
1 Y 0.000 0.000 0.000
2 Y 0.500 0.500 0.500
3 Ho 0.249 0.333 0.000
4 Ho 0.251 0.833 0.500
5 Ho 0.749 0.167 0.500
6 Ho 0.751 0.667 0.000
7 Er 0.000 0.500 0.500
8 Er 0.500 0.000 0.000
9 Tm 0.250 0.166 0.500
10 Tm 0.250 0.666 0.000
11 Tm 0.750 0.334 0.000
12 Tm 0.750 0.834 0.500

=====

No. 14
Entry from Alexandria: crystalline CaEuCuIr at its relaxed geometry (PBE).

## Properties
SG	F-43m (216)
crystal system	cubic
energy of formation from the pure elements	-0.79	eV per formula unit
volume	86.6	Å³ per cell
E_tot	-6.506	eV/atom
ρ	8.58	Mg/m³

abc: 4.967 4.967 4.967
angles: 60.00 60.00 60.00
Fractional positions:
1 Ca 0.000 0.000 0.000
2 Eu 0.500 0.500 0.500
3 Cu 0.750 0.750 0.750
4 Ir 0.250 0.250 0.250

=====

No. 15
Entry from Alexandria: crystalline Co2HRuPt at its relaxed geometry (PBE).

## Properties
SG	P4/mmm (123)
ΔE to the lowest computed polymorph	0.082	eV/atom
crystal system	tetragonal
volume	54.9	Å³ per cell
E_tot	-6.420	eV/atom
ρ	12.54	Mg/m³

abc: 3.839 3.839 3.727
angles: 90.00 90.00 90.00
Fractional positions:
1 Co 0.000 0.500 0.000
2 Co 0.500 0.000 0.000
3 H 0.000 0.000 0.000
4 Ru 0.500 0.500 0.500
5 Pt 0.000 0.000 0.500

=====

No. 16
Entry from Alexandria: crystalline La2Dy5Tl4 at its relaxed geometry (PBE).

## Properties
SG	Immm (71)
crystal system	orthorhombic
energy of formation from the pure elements	0.50	eV per formula unit
volume	354.9	Å³ per cell
E_tot	-3.803	eV/atom
ρ	8.93	Mg/m³

abc: 10.816 10.816 10.816
angles: 160.95 120.31 63.26
Fractional positions:
1 La 0.176 0.176 0.000
2 La 0.824 0.824 0.000
3 Dy 0.000 0.500 0.500
4 Dy 0.144 0.817 0.327
5 Dy 0.490 0.817 0.673
6 Dy 0.510 0.183 0.327
7 Dy 0.856 0.183 0.673
8 Tl 0.251 0.000 0.251
9 Tl 0.421 0.421 0.000
10 Tl 0.579 0.579 0.000
11 Tl 0.749 0.000 0.749

=====

No. 17
Entry from Alexandria: crystalline YHfB4 at its relaxed geometry (PBE).

## Properties
SG	I-4m2 (119)
crystal system	tetragonal
energy of formation from the pure elements	-4.05	eV per formula unit
volume	66.1	Å³ per cell
E_tot	-7.864	eV/atom
ρ	7.81	Mg/m³

abc: 6.154 6.154 6.154
angles: 147.77 147.77 46.23
Fractional positions:
1 Y 0.000 0.000 0.000
2 Hf 0.250 0.750 0.500
3 B 0.415 0.415 0.000
4 B 0.585 0.585 0.000
5 B 0.673 0.173 0.500
6 B 0.827 0.327 0.500